1.
The following is a PBE calculation of an optimized crystal structure of Eu2LuI, from Alexandria via LeMat-Bulk.

Results
Calculated density: 6.98 g cm⁻³
Formation energy (no corrections): -0.4237 eV/atom
Total energy: -7.0787 eV per atom
SG: P4/mmm

```
4
Lattice="3.8037 0.0000 0.0000 0.0000 3.8037 0.0000 0.0000 0.0000 9.9561" Properties=species:S:1:pos:R:3 pbc="T T T"
Eu 0.0000 0.0000 2.3651
Eu 0.0000 0.0000 7.5910
Lu 1.9018 1.9018 4.9781
I 1.9018 1.9018 0.0000
```

2.
The following is a PBE calculation of an optimized crystal structure of EuLuI2, from Alexandria via LeMat-Bulk.

Results
Calculated density: 6.58 g cm⁻³
Formation energy (no corrections): -0.6772 eV/atom
Total energy: -5.1511 eV per atom
SG: R-3m

```
4
Lattice="1.9626 1.1331 10.9905 -1.9626 1.1331 10.9905 0.0000 -2.2662 10.9905" Properties=species:S:1:pos:R:3 pbc="T T T"
Eu 0.0000 0.0000 0.0000
Lu 0.0000 0.0000 16.4857
I 0.0000 0.0000 3.4150
I 0.0000 0.0000 29.5564
```